Density functional theory data (meta-GGA SCAN) for a crystal of HfFeTc3 relaxed with PBEsol.

abc: 4.6206 4.6206 4.6206
angles: 90.00 90.00 90.00
With the nearest neighbours (Å) after each atom.
Fractional coordinates of all 5 atoms:
1 Hf 0.0000 0.0000 0.0000  6 Tc 2.31
2 Fe 0.5000 0.5000 0.5000  12 Tc 3.27
3 Tc 0.0000 0.0000 0.5000  2 Hf 2.31
4 Tc 0.0000 0.5000 0.0000  2 Hf 2.31
5 Tc 0.5000 0.0000 0.0000  2 Hf 2.31

Summary:
For the volume, the calculation gives 19.73 Å³/atom. Its formation energy is 10.144 eV per formula unit. The calculation puts the calculated total energy at -35.168 eV per atom. Its space group is Pm-3m, No. 221.